Below is an optimized crystal structure of FeF, with properties calculated at the PBE+U level.

Values from the calculation:
**Energy above the most stable polymorph in this dataset**: 0.518 eV per atom
**Size of the total moment**: 21.6 μB/cell
**ρ**: 3.2 Mg/m³

```
data_FeF
_cell_length_a 6.186
_cell_length_b 6.186
_cell_length_c 6.186
_cell_angle_alpha 90.00
_cell_angle_beta 90.00
_cell_angle_gamma 90.00
_symmetry_space_group_name_H-M 'P m -3 n'
_symmetry_Int_Tables_number 223
_symmetry_space_group_name_Hall '-P 4n 2 3'
loop_
_atom_site_label
_atom_site_type_symbol
_atom_site_fract_x
_atom_site_fract_y
_atom_site_fract_z
_atom_site_occupancy
Fe1 Fe 0.000 0.250 0.500 1
F1 F 0.000 0.500 0.250 1
```